Pr4AgPt: relaxed, PBE-GGA.

D(E_F), states/eV/atom: 1.01
ΔE_f, eV per atom: -0.4849
Energy above the lowest structure with this stoichiometry, meV per atom: 0
Calculated volume, Å³ per atom: 29.5
Mass density, g cm⁻³: 8.1
Raw total energy, eV per formula unit: -30.92

The structure in POSCAR format:
```
Pr4AgPt
1.0
0.0000 7.0763 7.0763
7.0763 0.0000 7.0763
7.0763 7.0763 0.0000
Pr Ag Pt
16 4 4
Direct
0.0590 0.0590 0.4410
0.0590 0.4410 0.0590
0.0590 0.4410 0.4410
0.1861 0.1861 0.8139
0.1861 0.8139 0.1861
0.1861 0.8139 0.8139
0.1867 0.6044 0.6044
0.4410 0.0590 0.0590
0.4410 0.0590 0.4410
0.4410 0.4410 0.0590
0.6044 0.1867 0.6044
0.6044 0.6044 0.1867
0.6044 0.6044 0.6044
0.8139 0.1861 0.1861
0.8139 0.1861 0.8139
0.8139 0.8139 0.1861
0.5026 0.8325 0.8325
0.8325 0.5026 0.8325
0.8325 0.8325 0.5026
0.8325 0.8325 0.8325
0.3941 0.3941 0.3941
0.3941 0.3941 0.8176
0.3941 0.8176 0.3941
0.8176 0.3941 0.3941
```